A plane-wave DFT calculation with SCAN was carried out for a crystal of CsMgP2S relaxed with PBEsol.

Calculated values
D(E_F)   3.2 states/eV per cell
Raw total energy   -14.2734 eV per atom
ρ   3.5 Mg/m³
Energy relative to the elements, uncorrected   368 meV/atom

Geometry as POSCAR:
```
CsMgP2S
1.0
-1.959 4.335 1.150
-4.081 -2.275 1.622
1.971 -0.309 4.526
Cs P S Mg
1 2 1 1
Direct
0.500 0.500 0.500
0.000 0.000 0.500
0.000 0.500 0.000
0.000 0.000 0.000
0.500 0.000 0.000
```

---

A plane-wave DFT calculation with SCAN was carried out for a crystal of CsMgP2S relaxed with PBEsol.

Calculated values
D(E_F)   3.6 states/eV per cell
Raw total energy   -14.4820 eV per atom
ρ   3.4 Mg/m³
Energy relative to the elements, uncorrected   160 meV/atom

Geometry as POSCAR:
```
CsMgP2S
1.0
4.968 0.000 0.000
0.000 4.968 0.000
0.000 0.000 5.011
Cs P S Mg
1 2 1 1
Direct
0.500 0.500 0.500
0.000 0.500 0.000
0.500 0.000 0.000
0.000 0.000 0.500
0.000 0.000 0.000
```

---

A plane-wave DFT calculation with SCAN was carried out for a crystal of Cs2MgRh relaxed with PBEsol.

Calculated values
D(E_F)   4.0 states/eV per cell
Raw total energy   -27.7131 eV per atom
ρ   4.6 Mg/m³
Energy of formation   878.4 meV/atom

Geometry as POSCAR:
```
Cs2MgRh
1.0
5.860 0.000 0.000
2.930 5.075 0.000
2.930 1.692 4.784
Cs Mg Rh
2 1 1
Direct
0.250 0.250 0.250
0.750 0.750 0.750
0.000 0.000 0.000
0.500 0.500 0.500
```

---

A plane-wave DFT calculation with SCAN was carried out for a crystal of CsMgRu2W relaxed with PBEsol.

Calculated values
D(E_F)   3.9 states/eV per cell
Raw total energy   -34.6261 eV per atom
ρ   7.2 Mg/m³
Energy of formation   1798.8 meV/atom

Geometry as POSCAR:
```
CsMgRu2W
1.0
-3.688 1.387 -2.612
-1.047 -4.517 -0.919
-3.273 -0.164 4.535
Cs Ru Mg W
1 2 1 1
Direct
0.000 0.000 0.500
0.000 0.500 0.000
0.500 0.000 0.000
0.500 0.500 0.500
0.000 0.000 0.000
```

---

Look up the D(E_F) of the fourth one. 3.9 states/eV per cell